Entry 1:
A plane-wave DFT calculation with PBE was carried out for an optimized crystal structure of PmBRuN.

E_tot = -32.8 eV/f.u.
D(E_F) = 0.7 states/eV/f.u.
E_form (uncorrected) = -0.94 eV/atom

Structure (CIF):
```
data_PmBRuN
_chemical_formula_sum 'Pm2 B2 Ru2 N2'
_cell_length_a 3.716
_cell_length_b 3.716
_cell_length_c 7.799
_cell_angle_alpha 90.00
_cell_angle_beta 90.00
_cell_angle_gamma 90.00
_space_group_name_H-M_alt 'P 1'
_space_group_IT_number 1
loop_
_space_group_symop_operation_xyz
'x,y,z'
loop_
_atom_site_label
_atom_site_type_symbol
_atom_site_fract_x
_atom_site_fract_y
_atom_site_fract_z
B1 B 0.000 0.500 0.335
Ru1 Ru 0.000 0.000 0.500
Ru2 Ru 0.500 0.500 0.500
N1 N 0.500 0.000 0.853
N2 N 0.000 0.500 0.147
Pm1 Pm 0.500 0.000 0.167
Pm2 Pm 0.000 0.500 0.833
B2 B 0.500 0.000 0.665
```

***

Entry 2:
A plane-wave DFT calculation with PBE was carried out for an optimized crystal structure of TbPm3B2N6.

E_tot = -96.0 eV/f.u.
D(E_F) = 0.3 states/eV/f.u.
E_form (uncorrected) = -1.15 eV/atom

Structure (CIF):
```
data_TbPm3B2N6
_chemical_formula_sum 'Tb1 Pm3 B2 N6'
_cell_length_a 5.622
_cell_length_b 5.622
_cell_length_c 6.303
_cell_angle_alpha 90.00
_cell_angle_beta 90.00
_cell_angle_gamma 120.00
_space_group_name_H-M_alt 'P 1'
_space_group_IT_number 1
loop_
_space_group_symop_operation_xyz
'x,y,z'
loop_
_atom_site_label
_atom_site_type_symbol
_atom_site_fract_x
_atom_site_fract_y
_atom_site_fract_z
Tb1 Tb 0.000 0.000 0.500
B1 B 0.333 0.667 0.245
Pm1 Pm 0.667 0.333 0.339
N1 N 0.185 0.370 0.271
Pm2 Pm 0.333 0.667 0.661
Pm3 Pm 0.000 0.000 0.000
N2 N 0.185 0.815 0.271
N3 N 0.630 0.815 0.271
N4 N 0.815 0.185 0.729
N5 N 0.815 0.630 0.729
N6 N 0.370 0.185 0.729
B2 B 0.667 0.333 0.755
```

***

Entry 3:
A plane-wave DFT calculation with PBE was carried out for an optimized crystal structure of PmTcBN.

E_tot = -33.7 eV/f.u.
D(E_F) = 2.5 states/eV/f.u.
E_form (uncorrected) = -0.88 eV/atom

Structure (CIF):
```
data_PmTcBN
_chemical_formula_sum 'Pm2 Tc2 B2 N2'
_cell_length_a 3.654
_cell_length_b 3.654
_cell_length_c 8.148
_cell_angle_alpha 90.00
_cell_angle_beta 90.00
_cell_angle_gamma 90.00
_space_group_name_H-M_alt 'P 1'
_space_group_IT_number 1
loop_
_space_group_symop_operation_xyz
'x,y,z'
loop_
_atom_site_label
_atom_site_type_symbol
_atom_site_fract_x
_atom_site_fract_y
_atom_site_fract_z
N1 N 0.000 0.500 0.139
B1 B 0.000 0.500 0.319
Pm1 Pm 0.000 0.500 0.839
Pm2 Pm 0.500 0.000 0.161
Tc1 Tc 0.500 0.500 0.500
N2 N 0.500 0.000 0.861
Tc2 Tc 0.000 0.000 0.500
B2 B 0.500 0.000 0.681
```

***

Q: Which value of E_tot does entry 1 give?
A: -32.8 eV/f.u.